(1)
Here is a relaxed structure of MnPdN from Alexandria. Energies are from GGA-PBE.

abc: 2.767 2.786 9.277
angles: 90.00 90.00 90.00
Fractional positions:
Mn (0.000, 0.000, 0.000)
Mn (0.000, 0.500, 0.500)
Pd (0.500, 0.000, 0.257)
Pd (0.500, 0.500, 0.757)
N (0.500, 0.000, 0.482)
N (0.500, 0.500, 0.982)

The energy relative to the elements, uncorrected is -0.08 eV/f.u.

***

(2)
Here is a relaxed structure of MnPdN from Alexandria. Energies are from GGA-PBE.

abc: 3.082 3.082 4.277
angles: 90.00 90.00 120.00
Fractional positions:
Mn (0.000, 0.000, 0.000)
Pd (0.333, 0.667, 0.500)
N (0.667, 0.333, 0.000)

The energy relative to the elements, uncorrected is 0.24 eV/f.u.

***

(3)
Here is a relaxed structure of MnPdN from Alexandria. Energies are from GGA-PBE.

abc: 3.201 3.201 4.292
angles: 90.00 90.00 120.00
Fractional positions:
Mn (0.000, 0.000, 0.000)
Pd (0.333, 0.667, 0.500)
N (0.333, 0.667, 0.000)

The energy relative to the elements, uncorrected is -0.15 eV/f.u.